# 1
PmNd2ScTe4 | PBE | relaxed

```
PmNd2ScTe4
1.0
7.6481 0.0000 0.0000
0.0000 4.3640 0.0000
-2.4949 0.0000 7.2932
Pm Nd Sc Te
1 2 1 4
Cartesian
0.0000 0.0000 0.0000 Pm
-1.2474 2.1820 3.6466 Nd
2.5766 0.0000 3.6466 Nd
3.8241 2.1820 0.0000 Sc
1.3711 2.1820 1.7457 Te
0.1250 0.0000 5.6057 Te
5.0283 0.0000 1.6875 Te
3.7822 2.1820 5.5475 Te
```

Output
Final energy in Ry per atom: -0.4019
Formation energy (no corrections) in eV per atom: -1.320

---

# 2
PmNdThSc | PBE | relaxed

```
PmNdThSc
1.0
0.0000 3.9776 3.9776
3.9776 0.0000 3.9776
3.9776 3.9776 0.0000
Pm Nd Th Sc
1 1 1 1
Cartesian
0.0000 0.0000 0.0000 Pm
5.9664 5.9664 5.9664 Nd
1.9888 1.9888 1.9888 Th
3.9776 3.9776 3.9776 Sc
```

Output
Final energy in Ry per atom: -0.4165
ΔE_f in meV/atom: 151
Energy above the lowest structure with this stoichiometry in meV per atom: 113

---

# 3
PmNdThSc | PBE | relaxed

```
PmNdThSc
1.0
3.5902 0.0000 0.0000
0.0000 3.5902 0.0000
0.0000 0.0000 9.7730
Pm Nd Th Sc
1 1 1 1
Cartesian
0.0000 0.0000 0.0000 Pm
1.7951 1.7951 2.7225 Nd
1.7951 1.7951 7.3045 Th
0.0000 0.0000 5.0918 Sc
```

Output
Final energy in Ry per atom: -0.4248
ΔE_f in meV/atom: 38
Energy above the lowest structure with this stoichiometry in meV per atom: 0

---

# 4
PmNd2ScTl2 | PBE | relaxed

```
PmNd2ScTl2
1.0
5.0452 0.0000 0.0000
0.0000 10.0138 0.0000
0.0000 0.0000 7.0746
Pm Nd Sc Tl
2 4 2 4
Cartesian
0.0000 0.4770 0.0000 Pm
0.0000 9.5368 3.5373 Pm
0.0000 3.1607 2.6980 Nd
0.0000 6.8531 6.2353 Nd
2.5226 4.4952 0.6836 Nd
2.5226 5.5186 4.2209 Nd
2.5226 1.9088 4.9891 Sc
2.5226 8.1050 1.4518 Sc
0.0000 3.5240 5.8885 Tl
0.0000 6.4897 2.3512 Tl
2.5226 1.1554 1.9486 Tl
2.5226 8.8583 5.4859 Tl
```

Output
Final energy in Ry per atom: -0.3295
ΔE_f in meV/atom: -258

---

# 5
PmNd2Tm5Sc | PBE | relaxed

```
PmNd2Tm5Sc
1.0
2.7776 -9.8000 0.0000
2.7776 9.8000 0.0000
0.0000 0.0000 10.4115
Pm Nd Tm Sc
2 4 10 2
Cartesian
2.7776 8.1072 5.2057 Pm
2.7776 -8.1072 0.0000 Pm
2.7776 2.2522 8.0737 Nd
2.7776 2.1970 3.7171 Nd
2.7776 -2.1970 8.9228 Nd
2.7776 -2.2522 2.8680 Nd
2.7776 9.4434 8.1276 Tm
2.7776 7.3834 0.6347 Tm
2.7776 5.8329 7.7725 Tm
2.7776 5.4314 3.7970 Tm
2.7776 0.3424 0.6574 Tm
2.7776 -0.3424 5.8631 Tm
2.7776 -5.4314 9.0028 Tm
2.7776 -5.8329 2.5667 Tm
2.7776 -7.3834 5.8405 Tm
2.7776 -9.4434 2.9219 Tm
2.7776 3.8718 0.5879 Sc
2.7776 -3.8718 5.7937 Sc
```

Output
Final energy in Ry per atom: -0.3392
ΔE_f in meV/atom: 160

---

# 6
PmNd2TmSc | PBE | relaxed

```
PmNd2TmSc
1.0
3.2323 -7.9678 0.0000
3.2323 7.9678 0.0000
0.0000 0.0000 6.4681
Pm Nd Tm Sc
2 4 2 2
Cartesian
3.2323 5.3717 4.8510 Pm
3.2323 -5.3717 1.6170 Pm
1.6266 0.0000 0.0000 Nd
1.6266 0.0000 3.2340 Nd
4.8381 0.0000 0.0000 Nd
4.8381 0.0000 3.2340 Nd
3.2323 3.9572 1.6170 Tm
3.2323 -3.9572 4.8510 Tm
3.2323 2.4620 4.8510 Sc
3.2323 -2.4620 1.6170 Sc
```

Output
Final energy in Ry per atom: -0.3406
ΔE_f in meV/atom: 384

---

# 7
Pm6Nd2Tm3Sc | PBE | relaxed

```
Pm6Nd2Tm3Sc
1.0
3.1077 -5.3837 0.0000
3.1077 5.3837 0.0000
-2.0729 0.0000 11.6322
Pm Nd Tm Sc
6 2 3 1
Cartesian
-0.0160 1.7742 8.7488 Pm
1.0193 0.0000 2.8779 Pm
-0.0160 -1.7742 8.7488 Pm
4.1585 1.7742 2.8834 Pm
3.1233 0.0000 8.7543 Pm
4.1585 -1.7742 2.8834 Pm
2.0713 1.7944 5.8161 Nd
2.0713 -1.7944 5.8161 Nd
3.1077 3.5931 0.0000 Tm
3.1077 0.0000 0.0000 Tm
3.1077 -3.5931 0.0000 Tm
-1.0365 0.0000 5.8161 Sc
```

Output
Final energy in Ry per atom: -0.3520
ΔE_f in meV/atom: 27

---

# 8
PmNd4Tm2Sc | PBE | relaxed

```
PmNd4Tm2Sc
1.0
5.0879 0.0000 0.0000
0.0000 5.0879 0.0000
0.0000 0.0000 9.9810
Pm Nd Tm Sc
1 4 2 1
Cartesian
0.0000 0.0000 0.0000 Pm
0.0000 2.5439 2.4834 Nd
0.0000 2.5439 7.4977 Nd
2.5439 0.0000 2.4834 Nd
2.5439 0.0000 7.4977 Nd
0.0000 0.0000 4.9905 Tm
2.5439 2.5439 4.9905 Tm
2.5439 2.5439 0.0000 Sc
```

Output
Final energy in Ry per atom: -0.3571
ΔE_f in meV/atom: 28